{"formula": "Li2SiH6", "functional": "PBE", "state": "relaxed", "lattice": [[4.403, 0.000, 0.000], [0.000, 4.556, 0.000], [0.000, 0.000, 7.531]], "species": ["Li", "Li", "Li", "Li", "Si", "Si", "H", "H", "H", "H", "H", "H", "H", "H", "H", "H", "H", "H"], "frac_coords": [[0.000, 0.000, 0.196], [0.000, 0.000, 0.804], [0.500, 0.500, 0.304], [0.500, 0.500, 0.696], [0.000, 0.500, 0.000], [0.500, 0.000, 0.500], [0.202, 0.207, 0.000], [0.209, 0.644, 0.150], [0.209, 0.644, 0.850], [0.291, 0.144, 0.350], [0.291, 0.144, 0.650], [0.298, 0.707, 0.500], [0.702, 0.293, 0.500], [0.709, 0.856, 0.350], [0.709, 0.856, 0.650], [0.791, 0.356, 0.150], [0.791, 0.356, 0.850], [0.798, 0.793, 0.000]], "space_group": "No. 58", "magmom_total_mub_per_cell": 0.00, "final_energy_ev_per_cell": -61.4, "n_ef_per_ev_atom": 0.000}



{"formula": "LiSi2H", "functional": "PBE", "state": "relaxed", "lattice": [[-2.349, 2.349, 5.614], [2.349, -2.349, 5.614], [2.349, 2.349, -5.614]], "species": ["Li", "Li", "Si", "Si", "Si", "Si", "H", "H"], "frac_coords": [[0.000, 0.000, 0.000], [0.750, 0.250, 0.500], [0.319, 0.625, 0.194], [0.375, 0.569, 0.694], [0.431, 0.125, 0.806], [0.875, 0.681, 0.306], [0.250, 0.750, 0.500], [0.500, 0.500, 0.000]], "space_group": "No. 122", "magmom_total_mub_per_cell": 0.00, "final_energy_ev_per_cell": -28.7, "n_ef_per_ev_atom": 0.084}



{"formula": "Li2SiH6", "functional": "PBE", "state": "relaxed", "lattice": [[0.000, 3.236, 3.236], [3.236, 0.000, 3.236], [3.236, 3.236, 0.000]], "species": ["Li", "Li", "Si", "H", "H", "H", "H", "H", "H"], "frac_coords": [[0.250, 0.250, 0.250], [0.750, 0.750, 0.750], [0.000, 0.000, 0.000], [0.247, 0.247, 0.753], [0.247, 0.753, 0.247], [0.247, 0.753, 0.753], [0.753, 0.247, 0.247], [0.753, 0.247, 0.753], [0.753, 0.753, 0.247]], "space_group": "No. 225", "magmom_total_mub_per_cell": 0.00, "final_energy_ev_per_cell": -29.9}



{"formula": "Li2Si4H", "functional": "PBE", "state": "relaxed", "lattice": [[-2.068, 2.068, 6.101], [2.068, -2.068, 6.101], [2.068, 2.068, -6.101]], "species": ["Li", "Li", "Si", "Si", "Si", "Si", "H"], "frac_coords": [[0.147, 0.147, 0.000], [0.853, 0.853, 0.000], [0.000, 0.500, 0.500], [0.360, 0.360, 0.000], [0.500, 0.000, 0.500], [0.640, 0.640, 0.000], [0.500, 0.500, 0.000]], "space_group": "No. 139", "magmom_total_mub_per_cell": 0.00, "final_energy_ev_per_cell": -26.6, "n_ef_per_ev_atom": 0.425}



{"formula": "LiSiH3", "functional": "PBE", "state": "relaxed", "lattice": [[3.342, 0.000, 0.000], [0.000, 3.342, 0.000], [0.000, 0.000, 3.342]], "species": ["Li", "Si", "H", "H", "H"], "frac_coords": [[0.000, 0.000, 0.000], [0.500, 0.500, 0.500], [0.000, 0.000, 0.500], [0.000, 0.500, 0.000], [0.500, 0.000, 0.000]], "space_group": "No. 221", "magmom_total_mub_per_cell": 0.00, "final_energy_ev_per_cell": -14.8, "n_ef_per_ev_atom": 0.120}



{"formula": "LiSiH3", "functional": "PBE", "state": "relaxed", "lattice": [[6.029, 0.000, 0.000], [0.000, 5.363, 0.000], [-5.206, 0.000, 6.719]], "species": ["Li", "Li", "Li", "Li", "Si", "Si", "Si", "Si", "H", "H", "H", "H", "H", "H", "H", "H", "H", "H", "H", "H"], "frac_coords": [[0.193, 0.182, 0.416], [0.193, 0.318, 0.916], [0.807, 0.682, 0.084], [0.807, 0.818, 0.584], [0.235, 0.659, 0.526], [0.235, 0.841, 0.026], [0.765, 0.159, 0.974], [0.765, 0.341, 0.474], [0.004, 0.171, 0.643], [0.004, 0.329, 0.143], [0.224, 0.724, 0.186], [0.224, 0.776, 0.686], [0.460, 0.651, 0.069], [0.460, 0.849, 0.569], [0.540, 0.151, 0.431], [0.540, 0.349, 0.931], [0.776, 0.224, 0.314], [0.776, 0.276, 0.814], [0.996, 0.671, 0.857], [0.996, 0.829, 0.357]], "space_group": "No. 14", "magmom_total_mub_per_cell": 0.00, "final_energy_ev_per_cell": -70.7, "n_ef_per_ev_atom": 0.000}



{"formula": "Sr2LiSiH", "functional": "PBE", "state": "relaxed", "lattice": [[5.146, 0.000, 0.000], [0.000, 5.146, 0.000], [0.000, 0.000, 4.241]], "species": ["Sr", "Sr", "Li", "Si", "H"], "frac_coords": [[0.000, 0.500, 0.000], [0.500, 0.000, 0.000], [0.000, 0.000, 0.500], [0.500, 0.500, 0.500], [0.000, 0.000, 0.000]], "space_group": "No. 123", "magmom_total_mub_per_cell": 0.00, "final_energy_ev_per_cell": -15.7, "n_ef_per_ev_atom": 0.135}



{"formula": "SrLi2SiH", "functional": "PBE", "state": "relaxed", "lattice": [[1.829, -5.903, 0.000], [1.829, 5.903, 0.000], [0.000, 0.000, 8.195]], "species": ["Sr", "Sr", "Li", "Li", "Li", "Li", "Si", "Si", "H", "H"], "frac_coords": [[0.042, 0.958, 0.750], [0.958, 0.042, 0.250], [0.335, 0.665, 0.546], [0.335, 0.665, 0.954], [0.665, 0.335, 0.046], [0.665, 0.335, 0.454], [0.235, 0.765, 0.250], [0.765, 0.235, 0.750], [0.500, 0.500, 0.000], [0.500, 0.500, 0.500]], "space_group": "No. 63", "magmom_total_mub_per_cell": 0.00, "final_energy_ev_per_cell": -31.7, "n_ef_per_ev_atom": 0.145}



{"formula": "Li2SiTcH", "functional": "PBE", "state": "relaxed", "lattice": [[3.574, 0.000, 0.000], [0.000, 3.574, 0.000], [0.000, 0.000, 4.149]], "species": ["Li", "Li", "Si", "Tc", "H"], "frac_coords": [[0.000, 0.500, 0.000], [0.500, 0.000, 0.000], [0.000, 0.000, 0.500], [0.500, 0.500, 0.500], [0.500, 0.500, 0.000]], "space_group": "No. 123", "magmom_total_mub_per_cell": 0.32, "final_energy_ev_per_cell": -23.9, "n_ef_per_ev_atom": 0.458}



{"formula": "LiTiSi2H", "functional": "PBE", "state": "relaxed", "lattice": [[3.951, 0.000, 0.000], [0.000, 3.951, 0.000], [0.000, 0.000, 3.681]], "species": ["Li", "Ti", "Si", "Si", "H"], "frac_coords": [[0.000, 0.000, 0.000], [0.500, 0.500, 0.000], [0.000, 0.500, 0.500], [0.500, 0.000, 0.500], [0.000, 0.000, 0.500]], "space_group": "No. 123", "magmom_total_mub_per_cell": 0.00, "final_energy_ev_per_cell": -24.4, "n_ef_per_ev_atom": 0.415}



{"formula": "LiTlSiH6", "functional": "PBE", "state": "relaxed", "lattice": [[4.660, 0.000, 0.000], [-2.330, 4.035, 0.000], [0.000, 0.000, 5.507]], "species": ["Li", "Tl", "Si", "H", "H", "H", "H", "H", "H"], "frac_coords": [[0.000, 0.000, 0.000], [0.667, 0.333, 0.500], [0.333, 0.667, 0.000], [0.060, 0.382, 0.172], [0.060, 0.678, 0.828], [0.322, 0.382, 0.828], [0.322, 0.940, 0.172], [0.618, 0.678, 0.172], [0.618, 0.940, 0.828]], "space_group": "No. 149", "magmom_total_mub_per_cell": 0.00, "final_energy_ev_per_cell": -29.7}



{"formula": "LiY2SiH", "functional": "PBE", "state": "relaxed", "lattice": [[4.743, 0.000, 0.000], [0.000, 4.743, 0.000], [0.000, 0.000, 3.892]], "species": ["Li", "Y", "Y", "Si", "H"], "frac_coords": [[0.000, 0.000, 0.000], [0.000, 0.500, 0.500], [0.500, 0.000, 0.500], [0.500, 0.500, 0.000], [0.000, 0.000, 0.500]], "space_group": "No. 123", "magmom_total_mub_per_cell": 0.00, "final_energy_ev_per_cell": -26.0, "n_ef_per_ev_atom": 0.521}